(1)
La4Ho4Tm5, optimized geometry, DFT PBE; size of the total moment = 0.0 μB/f.u.; DFT total energy = -59.92 eV/cell; symmetry = I4/m, No. 87; V = 422.2 Å³/f.u.
1.0
-0.585 -1.625 4.769
-7.380 -5.929 -0.228
5.355 -7.778 0.704
La Ho Tm
4 4 5
direct
0.921 0.461 0.697
0.618 0.303 0.461
0.079 0.539 0.303
0.382 0.697 0.539
0.772 0.380 0.076
0.228 0.620 0.924
0.848 0.924 0.380
0.152 0.076 0.620
0.687 0.853 0.773
0.313 0.147 0.227
0.000 0.000 0.000
0.540 0.773 0.147
0.460 0.227 0.853

=====

(2)
La4Ho5Tm, optimized geometry, DFT PBE; size of the total moment = 0.0 μB/f.u.; DFT total energy = -44.82 eV/cell; symmetry = I4mm, No. 107; energy above the lowest structure with this stoichiometry = 0.0314 eV/atom; V = 348.2 Å³/f.u.
1.0
-3.015 0.619 5.162
5.029 -0.145 6.454
-0.718 7.867 2.136
La Ho Tm
4 5 1
direct
0.445 0.322 0.678
0.766 0.678 0.678
0.123 0.322 0.322
0.445 0.678 0.322
0.768 0.376 0.000
0.144 0.000 0.624
0.768 0.000 0.376
0.144 0.624 0.000
0.695 0.000 0.000
0.214 0.000 0.000

=====

(3)
LaHo12Tm3, optimized geometry, DFT PBE; size of the total moment = 0.0 μB/f.u.; DFT total energy = -72.85 eV/cell; symmetry = P4/mmm, No. 123; V = 499.1 Å³/f.u.
1.0
4.995 0.000 0.000
0.000 4.995 0.000
0.000 0.000 20.003
La Ho Tm
1 12 3
direct
0.000 0.000 0.000
0.500 0.500 0.000
0.500 0.500 0.253
0.500 0.500 0.500
0.500 0.500 0.747
0.500 0.000 0.129
0.500 0.000 0.376
0.500 0.000 0.624
0.500 0.000 0.871
0.000 0.500 0.129
0.000 0.500 0.376
0.000 0.500 0.624
0.000 0.500 0.871
0.000 0.000 0.252
0.000 0.000 0.500
0.000 0.000 0.748

=====

(4)
La2Ho2Tm5, optimized geometry, DFT PBE; size of the total moment = 0.0 μB/f.u.; DFT total energy = -39.45 eV/cell; symmetry = C2/m, No. 12; V = 303.2 Å³/f.u.
1.0
3.398 0.000 -0.701
-0.477 7.888 -2.312
0.717 -2.943 12.064
La Ho Tm
2 2 5
direct
0.820 0.782 0.640
0.180 0.218 0.360
0.546 0.735 0.092
0.454 0.265 0.908
0.691 0.847 0.382
0.309 0.153 0.618
0.905 0.539 0.810
0.095 0.461 0.190
0.000 0.000 0.000

=====

(5)
LaHo2Tm, optimized geometry, DFT PBE; size of the total moment = 0.0 μB/f.u.; DFT total energy = -18.04 eV/cell; symmetry = Fm-3m, No. 225; energy above the lowest structure with this stoichiometry = 0.1197 eV/atom; V = 131.1 Å³/f.u.
1.0
5.702 0.000 0.000
2.851 4.938 0.000
2.851 1.646 4.655
Tm Ho La
1 2 1
direct
0.000 0.000 0.000
0.250 0.250 0.250
0.750 0.750 0.750
0.500 0.500 0.500

=====

(6)
La5Ho2Tm4, optimized geometry, DFT PBE; size of the total moment = 0.0 μB/f.u.; DFT total energy = -50.76 eV/cell; symmetry = C2/m, No. 12; energy above the lowest structure with this stoichiometry = 0.0000 eV/atom; V = 367.5 Å³/f.u.
1.0
3.492 0.000 -0.660
-0.185 11.670 -0.982
-0.104 0.152 9.025
La Ho Tm
5 2 4
direct
0.902 0.465 0.804
0.098 0.535 0.196
0.824 0.929 0.647
0.500 0.000 0.000
0.176 0.071 0.353
0.716 0.347 0.431
0.284 0.653 0.569
0.360 0.203 0.720
0.964 0.738 0.929
0.640 0.797 0.280
0.036 0.262 0.071

=====

(7)
La2HoTm4, optimized geometry, DFT PBE; size of the total moment = 0.0 μB/f.u.; DFT total energy = -64.08 eV/cell; symmetry = P1, No. 1; energy above the lowest structure with this stoichiometry = 0.0000 eV/atom; V = 227.1 Å³/f.u.
1.0
-0.238 6.997 -0.985
-2.132 -4.705 -7.894
-5.834 -1.100 6.558
Tm Ho La
8 2 4
direct
0.834 0.309 0.961
0.965 0.639 0.825
0.782 0.863 0.640
0.266 0.460 0.375
0.486 0.040 0.091
0.472 0.637 0.824
0.335 0.307 0.959
0.867 0.744 0.221
0.764 0.466 0.371
0.984 0.041 0.086
0.283 0.865 0.642
0.427 0.197 0.515
0.922 0.206 0.526
0.362 0.727 0.213

=====

(8)
La2Ho7Tm3, optimized geometry, DFT PBE; size of the total moment = 0.0 μB/f.u.; DFT total energy = -53.78 eV/cell; symmetry = Cmmm, No. 65; energy above the lowest structure with this stoichiometry = 0.0429 eV/atom; V = 386.8 Å³/f.u.
1.0
-1.517 0.366 -3.246
2.601 -4.731 -1.749
-16.109 -7.906 6.637
La Ho Tm
2 7 3
direct
0.000 0.853 0.705
0.000 0.147 0.295
0.000 0.412 0.825
0.000 0.769 0.539
0.000 0.000 0.000
0.000 0.588 0.175
0.500 0.070 0.140
0.500 0.930 0.860
0.000 0.231 0.461
0.500 0.500 0.000
0.500 0.688 0.375
0.500 0.312 0.625

=====

(9)
La5Ho2Tm6, optimized geometry, DFT PBE; size of the total moment = 0.0 μB/f.u.; DFT total energy = -118.64 eV/cell; symmetry = Pbam, No. 55; V = 432.6 Å³/f.u.
1.0
-0.424 3.202 -1.609
-9.357 -4.039 -5.571
-11.986 6.251 15.601
La Ho Tm
10 4 12
direct
0.500 0.301 0.451
0.500 0.699 0.549
0.500 0.801 0.049
0.500 0.199 0.951
0.500 0.577 0.271
0.500 0.423 0.729
0.500 0.077 0.229
0.500 0.923 0.771
0.500 0.500 0.000
0.500 0.000 0.500
0.000 0.325 0.290
0.000 0.675 0.710
0.000 0.825 0.210
0.000 0.175 0.790
0.000 0.078 0.369
0.000 0.922 0.631
0.000 0.578 0.131
0.000 0.422 0.869
0.500 0.323 0.140
0.500 0.677 0.860
0.500 0.823 0.360
0.500 0.177 0.640
0.000 0.564 0.418
0.000 0.436 0.582
0.000 0.064 0.082
0.000 0.936 0.918

=====

(10)
La2Ho5Tm2, optimized geometry, DFT PBE; size of the total moment = 0.0 μB/f.u.; DFT total energy = -79.53 eV/cell; symmetry = Ima2, No. 46; energy above the lowest structure with this stoichiometry = 0.1128 eV/atom; V = 296.4 Å³/f.u.
1.0
11.847 0.000 0.000
0.000 6.720 0.000
-5.923 -3.360 7.448
La Ho Tm
4 10 4
direct
0.129 0.690 0.254
0.871 0.436 0.746
0.626 0.190 0.254
0.374 0.936 0.746
0.202 0.651 0.895
0.798 0.756 0.105
0.193 0.151 0.895
0.807 0.256 0.105
0.376 0.027 0.286
0.624 0.741 0.714
0.410 0.527 0.286
0.590 0.241 0.714
0.007 0.661 0.500
0.993 0.161 0.500
0.000 0.020 0.000
0.500 0.520 0.000
0.260 0.355 0.500
0.740 0.855 0.500

=====

(11)
La12HoTm7, optimized geometry, DFT PBE; size of the total moment = 0.0 μB/f.u.; DFT total energy = -91.10 eV/cell; symmetry = R-3m, No. 166; V = 700.2 Å³/f.u.
1.0
6.207 0.000 -1.277
-3.207 9.782 -5.106
0.208 0.000 11.489
La Ho Tm
12 1 7
direct
0.092 0.592 0.183
0.091 0.183 0.591
0.574 0.646 0.000
0.426 0.000 0.354
0.500 0.409 0.592
0.072 0.646 0.646
0.928 0.354 0.354
0.500 0.591 0.408
0.574 0.000 0.646
0.426 0.354 0.000
0.909 0.817 0.409
0.908 0.408 0.817
0.000 0.000 0.000
0.115 0.755 0.000
0.885 0.000 0.245
0.639 0.755 0.755
0.500 0.000 0.000
0.361 0.245 0.245
0.115 0.000 0.755
0.885 0.245 0.000

=====

(12)
La2Ho12Tm, optimized geometry, DFT PBE; size of the total moment = 0.0 μB/f.u.; DFT total energy = -133.70 eV/cell; symmetry = P2/m, No. 10; V = 494.1 Å³/f.u.
1.0
6.495 -1.491 0.001
-1.491 6.495 0.001
0.005 0.005 24.730
La Ho Tm
4 24 2
direct
0.500 0.000 0.267
0.000 0.500 0.267
0.000 0.500 0.733
0.500 0.000 0.733
0.500 0.500 0.803
0.000 0.000 0.803
0.750 0.750 0.924
0.250 0.750 0.877
0.000 0.000 0.327
0.250 0.750 0.123
0.750 0.250 0.585
0.500 0.500 0.327
0.250 0.250 0.924
0.750 0.750 0.076
0.251 0.250 0.562
0.750 0.250 0.415
0.000 0.000 0.673
0.249 0.250 0.438
0.250 0.250 0.076
0.750 0.749 0.438
0.750 0.751 0.562
0.000 0.000 0.197
0.250 0.750 0.585
0.500 0.500 0.673
0.750 0.250 0.877
0.500 0.500 0.197
0.250 0.750 0.415
0.750 0.250 0.123
0.500 0.000 0.000
0.000 0.500 0.000